Record 1
Li3Hg6Sb2: relaxed, GGA-PBE.

Total moment (μB per atom): 0.00
Uncorrected formation energy (kcal/mol of atoms): -3.28
DOS(E_F) (states/eV per atom): 0.35

abc: 6.725 6.727 7.578
angles: 106.59 106.46 107.43
Element x y z (fractional)
Li  0.000  0.000  0.000
Li  0.443  0.444  0.270
Li  0.557  0.556  0.730
Hg  0.000  0.458  0.218
Hg  0.000  0.542  0.782
Hg  0.174  0.175  0.413
Hg  0.458  0.001  0.219
Hg  0.542  0.999  0.781
Hg  0.826  0.825  0.587
Sb  0.255  0.255  0.839
Sb  0.745  0.745  0.161

=====

Record 2
Co2PPt: relaxed, GGA-PBE.

Total moment (μB per atom): 0.57
Formation energy (eV/atom): -0.01
DOS(E_F) (states/eV per atom): 1.48

abc: 2.831 2.831 6.240
angles: 90.00 90.00 90.00
Element x y z (fractional)
Co  0.000  0.000  0.000
Co  0.500  0.500  0.266
P  0.000  0.000  0.423
Pt  0.500  0.500  0.718